{
  "formula": "SrAlAu2",
  "functional": "PBE-GGA",
  "state": "relaxed",
  "mass_density_g_cm3": 8.5,
  "formation_energy_mev_per_atom": -561,
  "n_ef_per_ev_atom": 0.504,
  "cell": [[3.8730, -2.2390, 0.0000], [3.8730, 2.2390, 0.0000], [-2.5997, 0.0000, 5.7204]],
  "species": ["Sr", "Al", "Au", "Au"],
  "frac_coords": [[0.0000, 0.0000, 0.0000], [0.1896, 0.1896, 0.5710], [0.5455, 0.5455, 0.6378], [0.8005, 0.8005, 0.4044]]
}